# 1
ZrAlSbTe2 | the Alexandria database | GGA-PBEsol | optimized geometry; space-group type = P4/mmm; energy above the lowest structure with this stoichiometry = 283 meV/atom; E_form (uncorrected) = 2.2 eV per formula unit; size of the total moment = 0.56 μB per formula unit
1.0
5.189 0.000 0.000
0.000 5.189 0.000
0.000 0.000 5.095
Zr Al Sb Te
1 1 1 2
direct
0.000 0.000 0.000
0.500 0.500 0.500
0.500 0.500 0.000
0.000 0.500 0.500
0.500 0.000 0.500



# 2
ZrAlSbTe2 | the Alexandria database | GGA-PBEsol | optimized geometry; space-group type = P4/mmm; energy above the lowest structure with this stoichiometry = 0 meV/atom; E_form (uncorrected) = 0.8 eV per formula unit; size of the total moment = 0.00 μB per formula unit
1.0
5.510 0.000 0.000
0.000 5.510 0.000
0.000 0.000 5.527
Zr Al Sb Te
1 1 1 2
direct
0.000 0.000 0.000
0.500 0.500 0.500
0.000 0.000 0.500
0.000 0.500 0.000
0.500 0.000 0.000



# 3
AlTlSb2 | the Alexandria database | GGA-PBEsol | optimized geometry; space-group type = P4/mmm; energy above the lowest structure with this stoichiometry = 62 meV/atom; E_form (uncorrected) = 0.4 eV per formula unit; size of the total moment = 0.00 μB per formula unit
1.0
3.782 0.000 0.000
0.000 3.782 0.000
0.000 0.000 7.076
Al Tl Sb
1 1 2
direct
0.000 0.000 0.000
0.000 0.000 0.500
0.500 0.500 0.205
0.500 0.500 0.795



# 4
AlTl3Sb | the Alexandria database | GGA-PBEsol | optimized geometry; space-group type = Pm-3m; E_form (uncorrected) = 1.8 eV per formula unit; size of the total moment = 0.00 μB per formula unit
1.0
5.291 0.000 0.000
0.000 5.291 0.000
0.000 0.000 5.291
Al Tl Sb
1 3 1
direct
0.000 0.000 0.000
0.000 0.000 0.500
0.000 0.500 0.000
0.500 0.000 0.000
0.500 0.500 0.500



Number 1: D(E_F) 1.04 states/eV/atom. Number 2: D(E_F) 0.79 states/eV/atom. Number 3: D(E_F) 0.47 states/eV/atom. Number 4: D(E_F) 0.81 states/eV/atom.